CeNdTe2: optimized geometry, GGA-PBE.

Unit cell a=4.3744 b=4.3744 c=15.5470 alpha=90.00 beta=90.00 gamma=120.00
Element x y z (fractional)
Ce (0.3333, 0.6667, 0.2500)
Ce (0.6667, 0.3333, 0.7500)
Nd (0.0000, 0.0000, 0.0000)
Nd (0.0000, 0.0000, 0.5000)
Te (0.3333, 0.6667, 0.6235)
Te (0.3333, 0.6667, 0.8765)
Te (0.6667, 0.3333, 0.1235)
Te (0.6667, 0.3333, 0.3765)

Output
The total energy comes out at -5.616 eV/atom. As for the uncorrected formation energy: -1.37 eV/atom. As for the density of states at the Fermi level: 16.496 states/eV/cell. As for the magnetic moment: 1.37 μB per formula unit. As for the space group: P6_3/mmc.



Li4PmIn5: optimized geometry, GGA-PBE.

Unit cell a=3.5345 b=3.5345 c=17.1283 alpha=90.00 beta=90.00 gamma=90.00
Element x y z (fractional)
Li (0.0000, 0.0000, 0.0935)
Li (0.0000, 0.0000, 0.2799)
Li (0.0000, 0.0000, 0.7201)
Li (0.0000, 0.0000, 0.9065)
Pm (0.0000, 0.0000, 0.5000)
In (0.5000, 0.5000, 0.0000)
In (0.5000, 0.5000, 0.1877)
In (0.5000, 0.5000, 0.3714)
In (0.5000, 0.5000, 0.6286)
In (0.5000, 0.5000, 0.8123)

Output
The total energy comes out at -2.932 eV/atom. As for the density of states at the Fermi level: 4.293 states/eV/cell. As for the magnetic moment: 0.00 μB per formula unit. As for the space group: P4/mmm. As for the formation energy: -322 meV per atom.